w:
Material: Ir2NF2
Method: DFT, GGA-PBE
State: optimized geometry

Properties
- total moment (μB per atom) = 0.000

Structure (CIF):
```
data_Ir2NF2
_cell_length_a 5.520
_cell_length_b 5.520
_cell_length_c 4.146
_cell_angle_alpha 90.00
_cell_angle_beta 90.00
_cell_angle_gamma 90.00
_symmetry_space_group_name_H-M 'P 4/m b m'
_symmetry_Int_Tables_number 127
_symmetry_space_group_name_Hall '-P 4 2ab'
loop_
_atom_site_label
_atom_site_type_symbol
_atom_site_fract_x
_atom_site_fract_y
_atom_site_fract_z
Ir1 Ir 0.205 0.295 0.000
N1 N 0.000 0.000 0.000
F1 F 0.178 0.322 0.500
```

x:
Material: Ir2NF2
Method: DFT, GGA-PBE
State: optimized geometry

Properties
- total moment (μB per atom) = 0.184

Structure (CIF):
```
data_Ir2NF2
_cell_length_a 3.196
_cell_length_b 3.196
_cell_length_c 11.424
_cell_angle_alpha 90.00
_cell_angle_beta 90.00
_cell_angle_gamma 90.00
_symmetry_space_group_name_H-M 'I 4/m m m'
_symmetry_Int_Tables_number 139
_symmetry_space_group_name_Hall '-I 4 2'
loop_
_atom_site_label
_atom_site_type_symbol
_atom_site_fract_x
_atom_site_fract_y
_atom_site_fract_z
Ir1 Ir 0.000 0.000 0.100
N1 N 0.000 0.000 0.500
F1 F 0.000 0.500 0.250
```

Stability, lowest: x

w:
Material: IrN2F2
Method: DFT, GGA-PBE
State: optimized geometry

Properties
- total moment (μB per atom) = 0.077

Structure (CIF):
```
data_IrN2F2
_cell_length_a 3.519
_cell_length_b 3.519
_cell_length_c 4.077
_cell_angle_alpha 90.00
_cell_angle_beta 90.00
_cell_angle_gamma 90.00
_symmetry_space_group_name_H-M 'P 4/m m m'
_symmetry_Int_Tables_number 123
_symmetry_space_group_name_Hall '-P 4 2'
loop_
_atom_site_label
_atom_site_type_symbol
_atom_site_fract_x
_atom_site_fract_y
_atom_site_fract_z
Ir1 Ir 0.000 0.000 0.000
N1 N 0.000 0.500 0.500
F1 F 0.500 0.500 0.000
F2 F 0.500 0.500 0.500
```

x:
Material: IrN2F2
Method: DFT, GGA-PBE
State: optimized geometry

Properties
- total moment (μB per atom) = 0.363

Structure (CIF):
```
data_IrN2F2
_cell_length_a 3.794
_cell_length_b 3.794
_cell_length_c 4.091
_cell_angle_alpha 90.00
_cell_angle_beta 90.00
_cell_angle_gamma 90.00
_symmetry_space_group_name_H-M 'P 4/m m m'
_symmetry_Int_Tables_number 123
_symmetry_space_group_name_Hall '-P 4 2'
loop_
_atom_site_label
_atom_site_type_symbol
_atom_site_fract_x
_atom_site_fract_y
_atom_site_fract_z
Ir1 Ir 0.000 0.000 0.000
N1 N 0.000 0.500 0.000
F1 F 0.000 0.000 0.500
F2 F 0.500 0.500 0.500
```

Stability, lowest: w

w:
Material: NaIrNF2
Method: DFT, GGA-PBE
State: optimized geometry

Properties
- total moment (μB per atom) = 0.799

Structure (CIF):
```
data_NaIrNF2
_cell_length_a 3.828
_cell_length_b 3.828
_cell_length_c 4.501
_cell_angle_alpha 90.00
_cell_angle_beta 90.00
_cell_angle_gamma 90.00
_symmetry_space_group_name_H-M 'P 4/m m m'
_symmetry_Int_Tables_number 123
_symmetry_space_group_name_Hall '-P 4 2'
loop_
_atom_site_label
_atom_site_type_symbol
_atom_site_fract_x
_atom_site_fract_y
_atom_site_fract_z
Na1 Na 0.000 0.000 0.000
Ir1 Ir 0.500 0.500 0.500
N1 N 0.000 0.000 0.500
F1 F 0.000 0.500 0.000
```

x:
Material: NaIrNF2
Method: DFT, GGA-PBE
State: optimized geometry

Properties
- total moment (μB per atom) = 0.000

Structure (CIF):
```
data_NaIrNF2
_cell_length_a 4.453
_cell_length_b 4.453
_cell_length_c 3.690
_cell_angle_alpha 90.00
_cell_angle_beta 90.00
_cell_angle_gamma 90.00
_symmetry_space_group_name_H-M 'P 4/m m m'
_symmetry_Int_Tables_number 123
_symmetry_space_group_name_Hall '-P 4 2'
loop_
_atom_site_label
_atom_site_type_symbol
_atom_site_fract_x
_atom_site_fract_y
_atom_site_fract_z
Na1 Na 0.000 0.000 0.000
Ir1 Ir 0.500 0.500 0.500
N1 N 0.500 0.500 0.000
F1 F 0.000 0.500 0.500
```

Stability, lowest: w